An optimized crystal structure of ZnNiMo3, computed with PBE.

Results
total magnetization: 0.00 μB per cell
SG: No. 221
volume: 90 Å³ per cell
crystal system: cubic
ΔE_f: 1.306 eV/atom

POSCAR file:
```
ZnNiMo3
1.0
4.4758 0.0000 0.0000
0.0000 4.4758 0.0000
0.0000 0.0000 4.4758
Zn Ni Mo
1 1 3
Cartesian
0.0000 0.0000 0.0000 Zn
2.2379 2.2379 2.2379 Ni
0.0000 2.2379 2.2379 Mo
2.2379 0.0000 2.2379 Mo
2.2379 2.2379 0.0000 Mo
```